The following is a PBE-GGA calculation of a relaxed structure of TbCd2Sn, from the Open Quantum Materials Database.

Calculated values
size of the total moment = 0.0 μB/f.u.
energy = -3.046 eV per atom
volume = 96 Å³/cell

abc: 4.469 4.469 4.823
angles: 90.00 90.00 90.00
Space group P4/mmm (No. 123)
Inequivalent atoms, fractional coordinates:
Tb1 0.000 0.000 0.000 x1
Cd1 0.000 0.500 0.500 x2
Sn1 0.500 0.500 0.000 x1

The following is a PBE-GGA calculation of a relaxed structure of CdTc2Sn, from the Open Quantum Materials Database.

Calculated values
size of the total moment = 0.6 μB/f.u.
energy = -5.907 eV per atom
volume = 278 Å³/cell

abc: 6.528 6.528 6.528
angles: 90.00 90.00 90.00
Space group F-43m (No. 216)
Inequivalent atoms, fractional coordinates:
Cd1 0.000 0.000 0.000 x4
Tc1 0.000 0.000 0.500 x4
Tc2 0.250 0.250 0.250 x4
Sn1 0.250 0.250 0.750 x4

The following is a PBE-GGA calculation of a relaxed structure of CdSn2Te, from the Open Quantum Materials Database.

Calculated values
energy = -2.926 eV per atom
volume = 438 Å³/cell

abc: 7.596 7.596 7.596
angles: 90.00 90.00 90.00
Space group F-43m (No. 216)
Inequivalent atoms, fractional coordinates:
Cd1 0.000 0.000 0.000 x4
Sn1 0.000 0.000 0.500 x4
Sn2 0.250 0.250 0.250 x4
Te1 0.250 0.250 0.750 x4

The following is a PBE-GGA calculation of a relaxed structure of CdSnTe2, from the Open Quantum Materials Database.

Calculated values
energy = -2.653 eV per atom
volume = 449 Å³/cell

abc: 7.657 7.657 7.657
angles: 90.00 90.00 90.00
Space group F-43m (No. 216)
Inequivalent atoms, fractional coordinates:
Cd1 0.000 0.000 0.000 x4
Sn1 0.250 0.250 0.750 x4
Te1 0.000 0.000 0.500 x4
Te2 0.250 0.250 0.250 x4

The following is a PBE-GGA calculation of a relaxed structure of Cd2SnTe3, from the Open Quantum Materials Database.

Calculated values
energy = -2.741 eV per atom
volume = 713 Å³/cell

abc: 4.332 14.773 11.149
angles: 90.00 90.00 90.00
Space group Cmcm (No. 63)
Inequivalent atoms, fractional coordinates:
Cd1 0.000 0.000 0.000 x4
Cd2 0.000 0.479 0.250 x4
Sn1 0.000 0.228 0.750 x4
Te1 0.000 0.103 0.250 x4
Te2 0.000 0.354 0.058 x8

The following is a PBE-GGA calculation of a relaxed structure of YCdSnTe3, from the Open Quantum Materials Database.

Calculated values
size of the total moment = 0.0 μB/f.u.
energy = -4.093 eV per atom
volume = 726 Å³/cell

abc: 4.393 14.727 11.226
angles: 90.00 90.00 90.00
Space group Cmcm (No. 63)
Inequivalent atoms, fractional coordinates:
Y1 0.000 0.000 0.000 x4
Cd1 0.000 0.476 0.250 x4
Sn1 0.000 0.208 0.750 x4
Te1 0.000 0.103 0.250 x4
Te2 0.000 0.353 0.047 x8

The following is a PBE-GGA calculation of a relaxed structure of ZnCdSnTe3, from the Open Quantum Materials Database.

Calculated values
ΔE to the lowest computed polymorph = 0 meV/atom
volume = 693 Å³/cell

abc: 4.261 14.376 11.312
angles: 90.00 90.00 90.00
Space group Cmcm (No. 63)
Inequivalent atoms, fractional coordinates:
Zn1 0.000 0.027 0.250 x4
Cd1 0.000 0.500 0.000 x4
Sn1 0.000 0.267 0.750 x4
Te1 0.000 0.144 0.066 x8
Te2 0.000 0.411 0.250 x4

The following is a PBE-GGA calculation of a relaxed structure of ZnCdSnTe3, from the Open Quantum Materials Database.

Calculated values
ΔE to the lowest computed polymorph = 128 meV/atom
volume = 690 Å³/cell

abc: 4.339 15.409 10.321
angles: 90.00 90.00 90.00
Space group Cmcm (No. 63)
Inequivalent atoms, fractional coordinates:
Zn1 0.000 0.000 0.000 x4
Cd1 0.000 0.471 0.250 x4
Sn1 0.000 0.229 0.750 x4
Te1 0.000 0.086 0.250 x4
Te2 0.000 0.351 0.048 x8